{
  "formula": "K2SrRu",
  "functional": "PBE-GGA",
  "state": "relaxed",
  "lattice": [[7.047, 0.021, 0.000], [3.780, 5.947, 0.000], [-5.413, -2.984, 3.384]],
  "species": ["Sr", "K", "K", "Ru"],
  "frac_coords": [[0.750, 0.250, 0.500], [0.000, 0.000, 0.000], [0.500, 0.500, 0.000], [0.250, 0.750, 0.500]],
  "sg": "I4/mmm, No. 139",
  "de_polymorph_mev_per_atom": 262,
  "dft_energy_ev_per_atom": -2.386,
  "dos_at_fermi_per_ev_fu": 7.23
}